A) Compound: NaMnSe3
Source: Alexandria
Functional: PBE
Structure: relaxed

```
data_NaMnSe3
_symmetry_space_group_name_H-M 'P -1'
_symmetry_Int_Tables_number 2
_cell_length_a 4.5750
_cell_length_b 8.2995
_cell_length_c 8.5092
_cell_angle_alpha 116.77
_cell_angle_beta 90.03
_cell_angle_gamma 105.99
loop_
_symmetry_equiv_pos_as_xyz
'x,y,z'
'-x,-y,-z'
loop_
_atom_site_label
_atom_site_type_symbol
_atom_site_fract_x
_atom_site_fract_y
_atom_site_fract_z
Na1 Na 0.1378 0.2769 0.4568
Mn1 Mn 0.3508 0.7021 0.0559
Se1 Se 0.1783 0.3566 0.8404
Se2 Se 0.3474 0.6938 0.7608
Se3 Se 0.4862 0.9707 0.7056
```

---

B) Compound: NaMnSe3
Source: Alexandria
Functional: PBE
Structure: relaxed

```
data_NaMnSe3
_symmetry_space_group_name_H-M 'P m -3 m'
_symmetry_Int_Tables_number 221
_symmetry_space_group_name_Hall '-P 4 2 3'
_cell_length_a 5.1042
_cell_length_b 5.1042
_cell_length_c 5.1042
_cell_angle_alpha 90.00
_cell_angle_beta 90.00
_cell_angle_gamma 90.00
loop_
_atom_site_label
_atom_site_type_symbol
_atom_site_fract_x
_atom_site_fract_y
_atom_site_fract_z
Na1 Na 0.0000 0.0000 0.0000
Mn1 Mn 0.5000 0.5000 0.5000
Se1 Se 0.0000 0.0000 0.5000
```

---

Energies in meV/atom, measured from the most stable structure: A) 0; B) 1235.

---

A) Compound: NaMnSi3
Source: Alexandria
Functional: PBE
Structure: relaxed

```
data_NaMnSi3
_symmetry_space_group_name_H-M 'P m -3 m'
_symmetry_Int_Tables_number 221
_symmetry_space_group_name_Hall '-P 4 2 3'
_cell_length_a 4.4823
_cell_length_b 4.4823
_cell_length_c 4.4823
_cell_angle_alpha 90.00
_cell_angle_beta 90.00
_cell_angle_gamma 90.00
loop_
_atom_site_label
_atom_site_type_symbol
_atom_site_fract_x
_atom_site_fract_y
_atom_site_fract_z
Na1 Na 0.0000 0.0000 0.0000
Mn1 Mn 0.5000 0.5000 0.5000
Si1 Si 0.0000 0.5000 0.5000
```

---

B) Compound: NaMnSi3
Source: Alexandria
Functional: PBE
Structure: relaxed

```
data_NaMnSi3
_symmetry_space_group_name_H-M 'P m -3 m'
_symmetry_Int_Tables_number 221
_symmetry_space_group_name_Hall '-P 4 2 3'
_cell_length_a 4.7568
_cell_length_b 4.7568
_cell_length_c 4.7568
_cell_angle_alpha 90.00
_cell_angle_beta 90.00
_cell_angle_gamma 90.00
loop_
_atom_site_label
_atom_site_type_symbol
_atom_site_fract_x
_atom_site_fract_y
_atom_site_fract_z
Na1 Na 0.0000 0.0000 0.0000
Mn1 Mn 0.5000 0.5000 0.5000
Si1 Si 0.0000 0.0000 0.5000
```

---

Energies in meV/atom, measured from the most stable structure: A) 0; B) 1914.

---

A) Compound: Na2SrMn
Source: Alexandria
Functional: PBE
Structure: relaxed

```
data_Na2SrMn
_symmetry_space_group_name_H-M 'I -4 2 d'
_symmetry_Int_Tables_number 122
_symmetry_space_group_name_Hall 'I -4 2bw'
_cell_length_a 4.6931
_cell_length_b 4.6931
_cell_length_c 25.0904
_cell_angle_alpha 90.00
_cell_angle_beta 90.00
_cell_angle_gamma 90.00
loop_
_atom_site_label
_atom_site_type_symbol
_atom_site_fract_x
_atom_site_fract_y
_atom_site_fract_z
Na1 Na 0.2181 0.2500 0.1250
Sr1 Sr 0.0000 0.0000 0.5000
Mn1 Mn 0.0000 0.0000 0.0000
```

---

B) Compound: Na2SrMn
Source: Alexandria
Functional: PBE
Structure: relaxed

```
data_Na2SrMn
_symmetry_space_group_name_H-M 'F m -3 m'
_symmetry_Int_Tables_number 225
_symmetry_space_group_name_Hall '-F 4 2 3'
_cell_length_a 8.0398
_cell_length_b 8.0398
_cell_length_c 8.0398
_cell_angle_alpha 90.00
_cell_angle_beta 90.00
_cell_angle_gamma 90.00
loop_
_atom_site_label
_atom_site_type_symbol
_atom_site_fract_x
_atom_site_fract_y
_atom_site_fract_z
Na1 Na 0.2500 0.2500 0.2500
Sr1 Sr 0.0000 0.0000 0.0000
Mn1 Mn 0.0000 0.0000 0.5000
```

---

Energies in meV/atom, measured from the most stable structure: A) 23; B) 0.

---

A) Compound: NaSrMn2
Source: Alexandria
Functional: PBE
Structure: relaxed

```
data_NaSrMn2
_symmetry_space_group_name_H-M 'F m -3 m'
_symmetry_Int_Tables_number 225
_symmetry_space_group_name_Hall '-F 4 2 3'
_cell_length_a 7.5767
_cell_length_b 7.5767
_cell_length_c 7.5767
_cell_angle_alpha 90.00
_cell_angle_beta 90.00
_cell_angle_gamma 90.00
loop_
_atom_site_label
_atom_site_type_symbol
_atom_site_fract_x
_atom_site_fract_y
_atom_site_fract_z
Na1 Na 0.0000 0.0000 0.0000
Sr1 Sr 0.0000 0.0000 0.5000
Mn1 Mn 0.2500 0.2500 0.2500
```

---

B) Compound: NaSrMn2
Source: Alexandria
Functional: PBE
Structure: relaxed

```
data_NaSrMn2
_symmetry_space_group_name_H-M 'I -4 2 d'
_symmetry_Int_Tables_number 122
_symmetry_space_group_name_Hall 'I -4 2bw'
_cell_length_a 4.9924
_cell_length_b 4.9924
_cell_length_c 20.6348
_cell_angle_alpha 90.00
_cell_angle_beta 90.00
_cell_angle_gamma 90.00
loop_
_atom_site_label
_atom_site_type_symbol
_atom_site_fract_x
_atom_site_fract_y
_atom_site_fract_z
Na1 Na 0.0000 0.0000 0.0000
Sr1 Sr 0.0000 0.0000 0.5000
Mn1 Mn 0.0302 0.7500 0.1250
```

---

Energies in meV/atom, measured from the most stable structure: A) 0; B) 166.

---

A) Compound: NaSr3Mn
Source: Alexandria
Functional: PBE
Structure: relaxed

```
data_NaSr3Mn
_symmetry_space_group_name_H-M 'P m -3 m'
_symmetry_Int_Tables_number 221
_symmetry_space_group_name_Hall '-P 4 2 3'
_cell_length_a 6.3460
_cell_length_b 6.3460
_cell_length_c 6.3460
_cell_angle_alpha 90.00
_cell_angle_beta 90.00
_cell_angle_gamma 90.00
loop_
_atom_site_label
_atom_site_type_symbol
_atom_site_fract_x
_atom_site_fract_y
_atom_site_fract_z
Na1 Na 0.0000 0.0000 0.0000
Sr1 Sr 0.0000 0.0000 0.5000
Mn1 Mn 0.5000 0.5000 0.5000
```

---

B) Compound: NaSr3Mn
Source: Alexandria
Functional: PBE
Structure: relaxed

```
data_NaSr3Mn
_symmetry_space_group_name_H-M 'P m -3 m'
_symmetry_Int_Tables_number 221
_symmetry_space_group_name_Hall '-P 4 2 3'
_cell_length_a 5.8874
_cell_length_b 5.8874
_cell_length_c 5.8874
_cell_angle_alpha 90.00
_cell_angle_beta 90.00
_cell_angle_gamma 90.00
loop_
_atom_site_label
_atom_site_type_symbol
_atom_site_fract_x
_atom_site_fract_y
_atom_site_fract_z
Na1 Na 0.0000 0.0000 0.0000
Sr1 Sr 0.0000 0.5000 0.5000
Mn1 Mn 0.5000 0.5000 0.5000
```

---

Energies in meV/atom, measured from the most stable structure: A) 209; B) 0.

---

A) Compound: Na2Sr2Mn
Source: Alexandria
Functional: PBE
Structure: relaxed

```
data_Na2Sr2Mn
_symmetry_space_group_name_H-M 'I 4/m m m'
_symmetry_Int_Tables_number 139
_symmetry_space_group_name_Hall '-I 4 2'
_cell_length_a 6.6784
_cell_length_b 6.6784
_cell_length_c 8.8214
_cell_angle_alpha 90.00
_cell_angle_beta 90.00
_cell_angle_gamma 90.00
loop_
_atom_site_label
_atom_site_type_symbol
_atom_site_fract_x
_atom_site_fract_y
_atom_site_fract_z
Na1 Na 0.0000 0.0000 0.1537
Sr1 Sr 0.0000 0.5000 0.2500
Mn1 Mn 0.0000 0.0000 0.5000
```

---

B) Compound: Na2Sr2Mn
Source: Alexandria
Functional: PBE
Structure: relaxed

```
data_Na2Sr2Mn
_symmetry_space_group_name_H-M 'P 4/m b m'
_symmetry_Int_Tables_number 127
_symmetry_space_group_name_Hall '-P 4 2ab'
_cell_length_a 8.2992
_cell_length_b 8.2992
_cell_length_c 5.5414
_cell_angle_alpha 90.00
_cell_angle_beta 90.00
_cell_angle_gamma 90.00
loop_
_atom_site_label
_atom_site_type_symbol
_atom_site_fract_x
_atom_site_fract_y
_atom_site_fract_z
Na1 Na 0.1324 0.3676 0.0000
Sr1 Sr 0.1842 0.6842 0.5000
Mn1 Mn 0.0000 0.0000 0.0000
```

---

Energies in meV/atom, measured from the most stable structure: A) 131; B) 0.

---

A) Compound: NaTa2Mn2
Source: Alexandria
Functional: PBE
Structure: relaxed

```
data_NaTa2Mn2
_symmetry_space_group_name_H-M 'P 4/m b m'
_symmetry_Int_Tables_number 127
_symmetry_space_group_name_Hall '-P 4 2ab'
_cell_length_a 7.5237
_cell_length_b 7.5237
_cell_length_c 2.9648
_cell_angle_alpha 90.00
_cell_angle_beta 90.00
_cell_angle_gamma 90.00
loop_
_atom_site_label
_atom_site_type_symbol
_atom_site_fract_x
_atom_site_fract_y
_atom_site_fract_z
Na1 Na 0.0000 0.0000 0.0000
Ta1 Ta 0.1447 0.3553 0.5000
Mn1 Mn 0.1355 0.6355 0.0000
```

---

B) Compound: NaTa2Mn2
Source: Alexandria
Functional: PBE
Structure: relaxed

```
data_NaTa2Mn2
_symmetry_space_group_name_H-M 'I 4/m m m'
_symmetry_Int_Tables_number 139
_symmetry_space_group_name_Hall '-I 4 2'
_cell_length_a 4.1469
_cell_length_b 4.1469
_cell_length_c 10.7181
_cell_angle_alpha 90.00
_cell_angle_beta 90.00
_cell_angle_gamma 90.00
loop_
_atom_site_label
_atom_site_type_symbol
_atom_site_fract_x
_atom_site_fract_y
_atom_site_fract_z
Na1 Na 0.0000 0.0000 0.0000
Ta1 Ta 0.0000 0.5000 0.2500
Mn1 Mn 0.0000 0.0000 0.3865
```

---

Energies in meV/atom, measured from the most stable structure: A) 0; B) 226.

---

A) Compound: Na2TaMn
Source: Alexandria
Functional: PBE
Structure: relaxed

```
data_Na2TaMn
_symmetry_space_group_name_H-M 'I -4 2 d'
_symmetry_Int_Tables_number 122
_symmetry_space_group_name_Hall 'I -4 2bw'
_cell_length_a 8.4536
_cell_length_b 8.4536
_cell_length_c 5.0104
_cell_angle_alpha 90.00
_cell_angle_beta 90.00
_cell_angle_gamma 90.00
loop_
_atom_site_label
_atom_site_type_symbol
_atom_site_fract_x
_atom_site_fract_y
_atom_site_fract_z
Na1 Na 0.2158 0.2500 0.1250
Ta1 Ta 0.0000 0.0000 0.5000
Mn1 Mn 0.0000 0.0000 0.0000
```

---

B) Compound: Na2TaMn
Source: Alexandria
Functional: PBE
Structure: relaxed

```
data_Na2TaMn
_symmetry_space_group_name_H-M 'F m -3 m'
_symmetry_Int_Tables_number 225
_symmetry_space_group_name_Hall '-F 4 2 3'
_cell_length_a 6.6477
_cell_length_b 6.6477
_cell_length_c 6.6477
_cell_angle_alpha 90.00
_cell_angle_beta 90.00
_cell_angle_gamma 90.00
loop_
_atom_site_label
_atom_site_type_symbol
_atom_site_fract_x
_atom_site_fract_y
_atom_site_fract_z
Na1 Na 0.2500 0.2500 0.2500
Ta1 Ta 0.0000 0.0000 0.0000
Mn1 Mn 0.0000 0.0000 0.5000
```

---

Energies in meV/atom, measured from the most stable structure: A) 0; B) 555.

---

A) Compound: NaTa2Mn
Source: Alexandria
Functional: PBE
Structure: relaxed

```
data_NaTa2Mn
_symmetry_space_group_name_H-M 'I -4 2 d'
_symmetry_Int_Tables_number 122
_symmetry_space_group_name_Hall 'I -4 2bw'
_cell_length_a 3.9391
_cell_length_b 3.9391
_cell_length_c 18.9323
_cell_angle_alpha 90.00
_cell_angle_beta 90.00
_cell_angle_gamma 90.00
loop_
_atom_site_label
_atom_site_type_symbol
_atom_site_fract_x
_atom_site_fract_y
_atom_site_fract_z
Na1 Na 0.0000 0.0000 0.0000
Ta1 Ta 0.2304 0.7500 0.6250
Mn1 Mn 0.0000 0.0000 0.5000
```

---

B) Compound: NaTa2Mn
Source: Alexandria
Functional: PBE
Structure: relaxed

```
data_NaTa2Mn
_symmetry_space_group_name_H-M 'F m -3 m'
_symmetry_Int_Tables_number 225
_symmetry_space_group_name_Hall '-F 4 2 3'
_cell_length_a 6.3634
_cell_length_b 6.3634
_cell_length_c 6.3634
_cell_angle_alpha 90.00
_cell_angle_beta 90.00
_cell_angle_gamma 90.00
loop_
_atom_site_label
_atom_site_type_symbol
_atom_site_fract_x
_atom_site_fract_y
_atom_site_fract_z
Na1 Na 0.0000 0.0000 0.0000
Ta1 Ta 0.2500 0.2500 0.2500
Mn1 Mn 0.0000 0.0000 0.5000
```

---

Energies in meV/atom, measured from the most stable structure: A) 600; B) 0.

---

A) Compound: NaMnTc3
Source: Alexandria
Functional: PBE
Structure: relaxed

```
data_NaMnTc3
_symmetry_space_group_name_H-M 'P m -3 m'
_symmetry_Int_Tables_number 221
_symmetry_space_group_name_Hall '-P 4 2 3'
_cell_length_a 4.4998
_cell_length_b 4.4998
_cell_length_c 4.4998
_cell_angle_alpha 90.00
_cell_angle_beta 90.00
_cell_angle_gamma 90.00
loop_
_atom_site_label
_atom_site_type_symbol
_atom_site_fract_x
_atom_site_fract_y
_atom_site_fract_z
Na1 Na 0.0000 0.0000 0.0000
Mn1 Mn 0.5000 0.5000 0.5000
Tc1 Tc 0.0000 0.5000 0.5000
```

---

B) Compound: NaMnTc3
Source: Alexandria
Functional: PBE
Structure: relaxed

```
data_NaMnTc3
_symmetry_space_group_name_H-M 'P m -3 m'
_symmetry_Int_Tables_number 221
_symmetry_space_group_name_Hall '-P 4 2 3'
_cell_length_a 4.3592
_cell_length_b 4.3592
_cell_length_c 4.3592
_cell_angle_alpha 90.00
_cell_angle_beta 90.00
_cell_angle_gamma 90.00
loop_
_atom_site_label
_atom_site_type_symbol
_atom_site_fract_x
_atom_site_fract_y
_atom_site_fract_z
Na1 Na 0.0000 0.0000 0.0000
Mn1 Mn 0.5000 0.5000 0.5000
Tc1 Tc 0.0000 0.0000 0.5000
```

---

Energies in meV/atom, measured from the most stable structure: A) 0; B) 1609.

---

A) Compound: Na2MnTc
Source: Alexandria
Functional: PBE
Structure: relaxed

```
data_Na2MnTc
_symmetry_space_group_name_H-M 'F m -3 m'
_symmetry_Int_Tables_number 225
_symmetry_space_group_name_Hall '-F 4 2 3'
_cell_length_a 6.7124
_cell_length_b 6.7124
_cell_length_c 6.7124
_cell_angle_alpha 90.00
_cell_angle_beta 90.00
_cell_angle_gamma 90.00
loop_
_atom_site_label
_atom_site_type_symbol
_atom_site_fract_x
_atom_site_fract_y
_atom_site_fract_z
Na1 Na 0.2500 0.2500 0.2500
Mn1 Mn 0.0000 0.0000 0.0000
Tc1 Tc 0.0000 0.0000 0.5000
```

---

B) Compound: Na2MnTc
Source: Alexandria
Functional: PBE
Structure: relaxed

```
data_Na2MnTc
_symmetry_space_group_name_H-M 'I -4 2 d'
_symmetry_Int_Tables_number 122
_symmetry_space_group_name_Hall 'I -4 2bw'
_cell_length_a 8.1388
_cell_length_b 8.1388
_cell_length_c 4.9657
_cell_angle_alpha 90.00
_cell_angle_beta 90.00
_cell_angle_gamma 90.00
loop_
_atom_site_label
_atom_site_type_symbol
_atom_site_fract_x
_atom_site_fract_y
_atom_site_fract_z
Na1 Na 0.2426 0.2500 0.1250
Mn1 Mn 0.0000 0.0000 0.0000
Tc1 Tc 0.0000 0.0000 0.5000
```

---

Energies in meV/atom, measured from the most stable structure: A) 545; B) 0.

---

A) Compound: NaMn2Tc
Source: Alexandria
Functional: PBE
Structure: relaxed

```
data_NaMn2Tc
_symmetry_space_group_name_H-M 'I -4 2 d'
_symmetry_Int_Tables_number 122
_symmetry_space_group_name_Hall 'I -4 2bw'
_cell_length_a 6.9682
_cell_length_b 6.9682
_cell_length_c 5.5583
_cell_angle_alpha 90.00
_cell_angle_beta 90.00
_cell_angle_gamma 90.00
loop_
_atom_site_label
_atom_site_type_symbol
_atom_site_fract_x
_atom_site_fract_y
_atom_site_fract_z
Na1 Na 0.0000 0.0000 0.0000
Mn1 Mn 0.2047 0.2500 0.6250
Tc1 Tc 0.0000 0.0000 0.5000
```

---

B) Compound: NaMn2Tc
Source: Alexandria
Functional: PBE
Structure: relaxed

```
data_NaMn2Tc
_symmetry_space_group_name_H-M 'F m -3 m'
_symmetry_Int_Tables_number 225
_symmetry_space_group_name_Hall '-F 4 2 3'
_cell_length_a 6.2874
_cell_length_b 6.2874
_cell_length_c 6.2874
_cell_angle_alpha 90.00
_cell_angle_beta 90.00
_cell_angle_gamma 90.00
loop_
_atom_site_label
_atom_site_type_symbol
_atom_site_fract_x
_atom_site_fract_y
_atom_site_fract_z
Na1 Na 0.0000 0.0000 0.0000
Mn1 Mn 0.2500 0.2500 0.2500
Tc1 Tc 0.0000 0.0000 0.5000
```

---

Energies in meV/atom, measured from the most stable structure: A) 309; B) 0.